# Pr8Th | the Alexandria database | PBE | optimized geometry
data_Pr8Th
_chemical_formula_sum 'Pr8 Th1'
_symmetry_space_group_name_H-M 'P 1'
_symmetry_Int_Tables_number 1
_cell_length_a 8.268
_cell_length_b 8.268
_cell_length_c 8.268
_cell_angle_alpha 95.78
_cell_angle_beta 95.78
_cell_angle_gamma 143.01
loop_
_symmetry_equiv_pos_as_xyz
'x,y,z'
loop_
_atom_site_label
_atom_site_fract_x
_atom_site_fract_y
_atom_site_fract_z
_atom_site_occupancy
Pr1 0.000 0.329 0.329 1
Pr2 0.000 0.671 0.671 1
Pr3 0.329 0.000 0.329 1
Pr4 0.338 0.338 0.677 1
Pr5 0.338 0.662 0.000 1
Pr6 0.662 0.338 0.000 1
Pr7 0.662 0.662 0.323 1
Pr8 0.671 0.000 0.671 1
Th1 0.000 0.000 0.000 1
# DOS at the Fermi energy: 14.730 states/eV/cell
# Space group: I4/mmm, No. 139
# Distance to the lowest polymorph of the same formula: 0.0 meV/atom
# Magnetic moment: 0.0 μB/f.u.
# Energy: -5.04 eV per atom
# ΔH_f (0 K): 0.286 eV/f.u.